No. 1
Here is a geometry-optimized Tb2AgRu structure from Alexandria via LeMat-Bulk. Energies are from PBE.

Summary:
ΔH_f (0 K) = -0.39 eV/atom
SG = P4/mmm (123)
magnetic moment = 0.000 μB per formula unit
density of states at the Fermi level = 0.62 states/eV/atom

a b c (Å): 3.434 3.434 7.541
angles (deg): 90.00 90.00 90.00
Fractional coordinates of all 4 atoms:
Tb1 0.000 0.000 0.223
Tb2 0.000 0.000 0.777
Ag1 0.500 0.500 0.500
Ru1 0.500 0.500 0.000

=====

No. 2
Here is a geometry-optimized AcIn2Pd2Pt structure from Alexandria via LeMat-Bulk. Energies are from PBE.

Summary:
ΔH_f (0 K) = -0.30 eV/atom
SG = I4/mmm (139)
magnetic moment = 0.000 μB per formula unit
density of states at the Fermi level = 0.57 states/eV/atom

a b c (Å): 5.164 5.164 11.629
angles (deg): 90.00 90.00 90.00
Fractional coordinates of all 12 atoms:
Ac1 0.000 0.000 0.000
Ac2 0.500 0.500 0.500
In1 0.000 0.500 0.250
In2 0.000 0.500 0.750
In3 0.500 0.000 0.250
In4 0.500 0.000 0.750
Pd1 0.000 0.000 0.272
Pd2 0.000 0.000 0.728
Pd3 0.500 0.500 0.228
Pd4 0.500 0.500 0.772
Pt1 0.000 0.000 0.500
Pt2 0.500 0.500 0.000

=====

No. 3
Here is a geometry-optimized LuPaSb2 structure from Alexandria via LeMat-Bulk. Energies are from PBE.

Summary:
SG = R-3m (166)
magnetic moment = 1.133 μB per formula unit
density of states at the Fermi level = 1.50 states/eV/atom
ΔE_f (raw) = -2.82 eV/f.u.

a b c (Å): 4.332 4.332 21.398
angles (deg): 90.00 90.00 120.00
Fractional coordinates of all 12 atoms:
Lu1 0.000 0.000 0.000
Lu2 0.333 0.667 0.667
Lu3 0.667 0.333 0.333
Pa1 0.000 0.000 0.500
Pa2 0.333 0.667 0.167
Pa3 0.667 0.333 0.833
Sb1 0.000 0.000 0.253
Sb2 0.000 0.000 0.747
Sb3 0.333 0.667 0.414
Sb4 0.333 0.667 0.919
Sb5 0.667 0.333 0.081
Sb6 0.667 0.333 0.586